{
  "formula": "Dy12Ho2Tm5",
  "functional": "GGA-PBE",
  "state": "relaxed",
  "lattice_angstrom": [[9.104, 0.000, 0.000], [-4.552, 7.729, 1.133], [0.000, -1.362, 8.335]],
  "species": ["Dy", "Dy", "Dy", "Dy", "Dy", "Dy", "Dy", "Dy", "Dy", "Dy", "Dy", "Dy", "Ho", "Ho", "Tm", "Tm", "Tm", "Tm", "Tm"],
  "frac_coords": [[0.908, 0.816, 0.115], [0.027, 0.689, 0.758], [0.663, 0.689, 0.758], [0.180, 0.747, 0.338], [0.567, 0.747, 0.338], [0.441, 0.883, 0.665], [0.559, 0.117, 0.335], [0.820, 0.253, 0.662], [0.433, 0.253, 0.662], [0.973, 0.311, 0.242], [0.337, 0.311, 0.242], [0.092, 0.184, 0.885], [0.677, 0.000, 0.000], [0.323, 0.000, 0.000], [0.232, 0.464, 0.574], [0.302, 0.605, 0.988], [0.000, 0.000, 0.500], [0.698, 0.395, 0.012], [0.768, 0.536, 0.426]],
  "sg": "C2/m, No. 12",
  "de_polymorph_mev_per_atom": 108,
  "n_ef_per_ev_cell": 28.1,
  "total_energy_ev_per_atom": -4.44
}